Entry 1:
Computed, not measured: a relaxed structure of LiGaOs2Se at the GGA-PBE level of DFT.

a = 4.360 Å, b = 3.950 Å, c = 4.360 Å
α = 90.00°, β = 90.00°, γ = 90.00°
Sites, in units of the cell vectors:
Os: 0.000 0.000 0.500
Os: 0.500 0.000 0.000
Ga: 0.500 0.500 0.500
Se: 0.000 0.500 0.000
Li: 0.000 0.000 0.000

As for the space-group type: P4/mmm (123). Its calculated volume is 75.1 Å³/cell. The total energy is -4.919 eV/atom.

---

Entry 2:
Computed, not measured: a relaxed structure of BaRePO2 at the GGA-PBE level of DFT.

a = 4.163 Å, b = 4.163 Å, c = 4.714 Å
α = 90.00°, β = 90.00°, γ = 90.00°
Sites, in units of the cell vectors:
Re: 0.000 0.000 0.000
Ba: 0.500 0.500 0.500
O: 0.000 0.500 0.000
O: 0.500 0.000 0.000
P: 0.000 0.000 0.500

As for the space-group type: P4/mmm (123). Its calculated volume is 81.7 Å³/cell. The total energy is -7.029 eV/atom. For the polymorph energy (0 for the lowest one), the calculation gives 0.0 meV/atom.

---

Entry 3:
Computed, not measured: a relaxed structure of LiScCdCl6 at the GGA-PBE level of DFT.

a = 6.530 Å, b = 6.530 Å, c = 11.805 Å
α = 90.00°, β = 90.00°, γ = 120.00°
Sites, in units of the cell vectors:
Li: 0.000 0.000 0.000
Li: 0.000 0.000 0.500
Sc: 0.333 0.667 0.250
Sc: 0.667 0.333 0.750
Cd: 0.667 0.333 0.250
Cd: 0.333 0.667 0.750
Cl: 0.648 0.666 0.128
Cl: 0.018 0.352 0.128
Cl: 0.352 0.018 0.628
Cl: 0.982 0.648 0.872
Cl: 0.334 0.352 0.372
Cl: 0.018 0.666 0.372
Cl: 0.666 0.018 0.872
Cl: 0.648 0.982 0.372
Cl: 0.982 0.334 0.628
Cl: 0.334 0.982 0.128
Cl: 0.666 0.648 0.628
Cl: 0.352 0.334 0.872

As for the space-group type: P-31c (163). Its calculated volume is 436.0 Å³/cell. The total energy is -3.920 eV/atom.

---

Entry 4:
Computed, not measured: a relaxed structure of PmMg11Pt at the GGA-PBE level of DFT.

a = 5.624 Å, b = 7.665 Å, c = 7.736 Å
α = 82.72°, β = 68.68°, γ = 69.61°
Sites, in units of the cell vectors:
Pm: 0.000 0.000 0.000
Mg: 0.301 0.220 0.204
Mg: 0.699 0.780 0.796
Mg: 0.495 0.780 0.204
Mg: 0.505 0.220 0.796
Mg: 0.360 0.638 0.664
Mg: 0.640 0.362 0.336
Mg: 0.975 0.362 0.664
Mg: 0.025 0.638 0.336
Mg: 0.000 0.500 0.000
Mg: 0.500 0.000 0.500
Mg: 0.000 0.000 0.500
Pt: 0.500 0.500 0.000

The value obtained for the formation energy is -0.21 eV per atom. As for the space-group type: C2/m (12). Its calculated volume is 291.2 Å³/cell. The total energy is -2.385 eV/atom.